This record from Alexandria via LeMat-Bulk describes a relaxed PuZrCu2Ge2 crystal. The functional is PBE.

As for the formation energy: -439 meV per atom. For the spin magnetization, the calculation gives 5.807 μB per formula unit. The total energy is -42.94 eV/cell.

Lattice parameters (Å, degrees): 4.2123 4.2123 7.1393 90.00 90.00 120.00
With the nearest neighbours (Å) after each atom.
Sites, in units of the cell vectors:
Pu 0.0000 0.0000 0.0000  6 Ge 3.08, 6 Cu 3.23
Zr 0.0000 0.0000 0.5000  6 Cu 2.83, 6 Ge 2.96
Cu 0.3333 0.6667 0.7032  3 Ge 2.44
Cu 0.6667 0.3333 0.2968  3 Ge 2.44
Ge 0.3333 0.6667 0.2641  3 Cu 2.44
Ge 0.6667 0.3333 0.7359  3 Cu 2.44

This record from Alexandria via LeMat-Bulk describes a relaxed Re2MoCl crystal. The functional is PBE.

Its distance to the lowest polymorph of the same formula is 0.207 eV/atom. For the spin magnetization, the calculation gives 0.000 μB per formula unit. The total energy is -35.77 eV/cell.

Lattice parameters (Å, degrees): 8.7652 8.7652 8.7652 18.89 18.89 18.89
With the nearest neighbours (Å) after each atom.
Sites, in units of the cell vectors:
Re 0.2500 0.2500 0.2500  3 Cl 2.72, 3 Mo 2.72, 6 Re 2.88
Re 0.7500 0.7500 0.7500  3 Cl 2.72, 3 Mo 2.72, 6 Re 2.88
Mo 0.0000 0.0000 0.0000  6 Re 2.72, 6 Mo 2.88
Cl 0.5000 0.5000 0.5000  6 Re 2.72, 6 Cl 2.88